1.
NaHF2 at its PBEsol-relaxed geometry, computed with SCAN.

Unit cell a=3.445 b=3.445 c=5.012 alpha=69.90 beta=69.90 gamma=60.00
Atoms (fractional coordinates):
H 0.500 0.500 0.500
F 0.417 0.417 0.749
F 0.583 0.583 0.251
Na 0.000 0.000 0.000

Energy relative to the lowest polymorph listed for this composition: 0.000 eV per atom


2.
NaHF2 at its PBEsol-relaxed geometry, computed with SCAN.

Unit cell a=3.166 b=3.781 c=3.781 alpha=97.43 beta=96.85 gamma=96.85
Atoms (fractional coordinates):
Na 0.500 0.263 0.737
F 0.901 0.128 0.289
H 0.000 0.902 0.098
F 0.099 0.711 0.872

Energy relative to the lowest polymorph listed for this composition: 0.062 eV per atom


3.
Na2HF at its PBEsol-relaxed geometry, computed with SCAN.

Unit cell a=5.133 b=5.133 c=6.278 alpha=114.13 beta=114.13 gamma=90.00
Atoms (fractional coordinates):
F 0.000 0.000 0.000
Na 0.879 0.375 0.250
F 0.250 0.750 0.500
H 0.750 0.250 0.500
Na 0.371 0.875 0.250
Na 0.625 0.629 0.750
Na 0.125 0.121 0.750
H 0.500 0.500 0.000

Uncorrected energy: -5.36 eV/atom


4.
Na2TcHF at its PBEsol-relaxed geometry, computed with SCAN.

Unit cell a=3.979 b=5.808 c=5.808 alpha=90.00 beta=90.00 gamma=90.00
Atoms (fractional coordinates):
F 0.500 0.000 0.000
H 0.500 0.500 0.500
Na 0.000 0.000 0.500
Na 0.000 0.500 0.000
Tc 0.000 0.000 0.000

Uncorrected energy: -9.86 eV/atom


5.
RbPHO3F at its PBEsol-relaxed geometry, computed with SCAN.

Unit cell a=7.404 b=7.574 c=15.569 alpha=90.00 beta=90.00 gamma=105.04
Atoms (fractional coordinates):
P 0.242 0.739 0.468
F 0.518 0.144 0.251
O 0.649 0.143 0.608
O 0.145 0.840 0.527
Rb 0.257 0.275 0.050
F 0.081 0.591 0.418
O 0.645 0.340 0.973
H 0.181 0.513 0.880
O 0.675 0.633 0.768
P 0.758 0.261 0.532
O 0.635 0.373 0.495
H 0.394 0.613 0.589
O 0.851 0.357 0.108
Rb 0.743 0.725 0.950
F 0.419 0.909 0.918
P 0.916 0.778 0.201
Rb 0.437 0.751 0.206
O 0.288 0.155 0.364
F 0.982 0.356 0.751
O 0.825 0.867 0.268
F 0.482 0.856 0.749
H 0.106 0.887 0.089
O 0.351 0.857 0.392
H 0.819 0.487 0.120
H 0.894 0.113 0.911
O 0.085 0.914 0.157
O 0.135 0.873 0.005
O 0.175 0.133 0.732
O 0.212 0.345 0.864
Rb 0.563 0.249 0.794
H 0.319 0.987 0.380
O 0.325 0.367 0.232
P 0.084 0.222 0.799
O 0.365 0.627 0.505
F 0.919 0.409 0.582
P 0.742 0.239 0.032
O 0.788 0.655 0.136
O 0.865 0.127 0.995
H 0.681 0.013 0.620
F 0.581 0.091 0.082
P 0.416 0.278 0.299
O 0.355 0.660 0.027
Rb 0.757 0.775 0.450
O 0.415 0.586 0.657
P 0.584 0.722 0.701
O 0.855 0.160 0.473
O 0.915 0.086 0.843
O 0.585 0.414 0.343
Rb 0.243 0.225 0.550
Rb 0.937 0.251 0.294
P 0.258 0.761 0.968
O 0.712 0.845 0.636
O 0.149 0.643 0.892
F 0.018 0.644 0.249
H 0.606 0.387 0.411
Rb 0.063 0.749 0.706

Uncorrected energy: -10.43 eV/atom


6.
SbPH4O4F6 at its PBEsol-relaxed geometry, computed with SCAN.

Unit cell a=5.370 b=5.370 c=13.757 alpha=92.32 beta=92.32 gamma=97.32
Atoms (fractional coordinates):
F 0.208 0.265 0.519
F 0.381 0.538 0.368
P 0.079 0.921 0.750
H 0.092 0.114 0.609
H 0.130 0.435 0.308
F 0.327 0.765 0.543
F 0.792 0.735 0.481
F 0.673 0.235 0.457
H 0.114 0.092 0.109
F 0.765 0.327 0.043
O 0.929 0.016 0.835
O 0.970 0.367 0.270
O 0.367 0.970 0.770
Sb 0.500 0.500 0.000
H 0.908 0.886 0.391
O 0.633 0.030 0.230
O 0.016 0.929 0.335
O 0.984 0.071 0.665
O 0.071 0.984 0.165
H 0.435 0.130 0.808
F 0.235 0.673 0.957
F 0.265 0.208 0.019
F 0.735 0.792 0.981
Sb 0.500 0.500 0.500
O 0.030 0.633 0.730
H 0.886 0.908 0.891
F 0.538 0.381 0.868
H 0.565 0.870 0.192
H 0.870 0.565 0.692
F 0.619 0.462 0.632
P 0.921 0.079 0.250
F 0.462 0.619 0.132

Uncorrected energy: -8.68 eV/atom


7.
HPdOF2 at its PBEsol-relaxed geometry, computed with SCAN.

Unit cell a=2.582 b=4.082 c=4.082 alpha=90.00 beta=90.00 gamma=90.00
Atoms (fractional coordinates):
O 0.500 0.000 0.000
F 0.000 0.500 0.000
F 0.000 0.000 0.500
Pd 0.500 0.500 0.500
H 0.000 0.000 0.000

Uncorrected energy: -10.15 eV/atom


8.
Sb2H8PtO4F12 at its PBEsol-relaxed geometry, computed with SCAN.

Unit cell a=4.985 b=8.037 c=8.507 alpha=69.23 beta=86.25 gamma=75.15
Atoms (fractional coordinates):
H 0.072 0.985 0.705
F 0.890 0.441 0.666
H 0.928 0.015 0.295
F 0.626 0.463 0.232
O 0.097 0.982 0.231
F 0.110 0.559 0.334
O 0.788 0.805 0.084
Pt 0.000 0.000 0.000
H 0.775 0.750 0.997
H 0.113 0.299 0.816
F 0.495 0.713 0.443
O 0.903 0.018 0.769
F 0.603 0.107 0.331
F 0.786 0.628 0.879
O 0.212 0.195 0.916
Sb 0.361 0.332 0.338
H 0.227 0.868 0.304
H 0.887 0.701 0.184
F 0.397 0.893 0.669
H 0.773 0.132 0.696
F 0.505 0.287 0.557
F 0.214 0.372 0.121
F 0.374 0.537 0.768
H 0.225 0.250 0.003
Sb 0.639 0.668 0.662
F 0.087 0.205 0.442
F 0.913 0.795 0.558

Uncorrected energy: -10.62 eV/atom


9.
RbHO2F at its PBEsol-relaxed geometry, computed with SCAN.

Unit cell a=4.984 b=5.982 c=5.982 alpha=90.00 beta=90.00 gamma=90.00
Atoms (fractional coordinates):
F 0.500 0.000 0.000
O 0.000 0.500 0.000
Rb 0.000 0.000 0.000
O 0.000 0.000 0.500
H 0.500 0.500 0.500

Uncorrected energy: -7.47 eV/atom


10.
RbTeHOF4 at its PBEsol-relaxed geometry, computed with SCAN.

Unit cell a=4.802 b=8.223 c=13.757 alpha=93.75 beta=90.00 gamma=106.98
Atoms (fractional coordinates):
O 0.995 0.627 0.349
Te 0.946 0.830 0.879
F 0.988 0.185 0.482
Rb 0.243 0.696 0.132
F 0.197 0.185 0.982
O 0.632 0.627 0.849
Rb 0.757 0.304 0.868
Te 0.884 0.830 0.379
H 0.194 0.642 0.378
F 0.648 0.949 0.855
F 0.803 0.815 0.018
O 0.005 0.373 0.651
F 0.500 0.354 0.584
F 0.779 0.797 0.235
H 0.553 0.358 0.122
F 0.699 0.051 0.645
F 0.982 0.203 0.265
F 0.301 0.949 0.355
Te 0.116 0.170 0.621
F 0.500 0.646 0.416
F 0.147 0.646 0.916
H 0.447 0.642 0.878
Rb 0.453 0.696 0.632
F 0.352 0.051 0.145
Rb 0.547 0.304 0.368
Te 0.054 0.170 0.121
O 0.368 0.373 0.151
F 0.853 0.354 0.084
H 0.806 0.358 0.622
F 0.221 0.203 0.765
F 0.018 0.797 0.735
F 0.012 0.815 0.518

Uncorrected energy: -12.39 eV/atom


11.
ReHOF2 at its PBEsol-relaxed geometry, computed with SCAN.

Unit cell a=3.709 b=4.050 c=4.050 alpha=90.00 beta=90.00 gamma=90.00
Atoms (fractional coordinates):
H 0.500 0.500 0.500
F 0.000 0.500 0.000
O 0.500 0.000 0.000
F 0.000 0.000 0.500
Re 0.000 0.000 0.000

Uncorrected energy: -18.44 eV/atom


12.
HRuO2F at its PBEsol-relaxed geometry, computed with SCAN.

Unit cell a=3.684 b=3.684 c=4.038 alpha=90.00 beta=90.00 gamma=90.00
Atoms (fractional coordinates):
H 0.500 0.500 0.500
O 0.500 0.000 0.000
O 0.000 0.500 0.000
F 0.000 0.000 0.500
Ru 0.000 0.000 0.000

Uncorrected energy: -11.35 eV/atom


13.
SbH3OF6 at its PBEsol-relaxed geometry, computed with SCAN.

Unit cell a=8.709 b=8.709 c=8.709 alpha=109.47 beta=109.47 gamma=109.47
Atoms (fractional coordinates):
H 0.631 0.137 0.601
H 0.036 0.029 0.899
Sb 0.500 0.502 0.500
F 0.257 0.056 0.594
H 0.006 0.869 0.971
F 0.745 0.166 0.211
H 0.471 0.006 0.369
F 0.535 0.789 0.956
F 0.965 0.921 0.255
H 0.029 0.399 0.536
F 0.044 0.334 0.079
F 0.836 0.299 0.743
F 0.243 0.836 0.799
F 0.537 0.444 0.701
F 0.664 0.406 0.463
Sb 0.502 0.000 0.000
F 0.334 0.579 0.544
Sb 0.998 0.998 0.498
F 0.406 0.963 0.164
F 0.166 0.711 0.245
Sb 0.000 0.500 0.002
F 0.444 0.201 0.037
H 0.363 0.494 0.964
F 0.789 0.456 0.035
H 0.399 0.036 0.529
O 0.029 0.000 0.000
F 0.201 0.537 0.944
O 0.471 0.471 0.971
H 0.869 0.471 0.506
F 0.963 0.664 0.906
O 0.000 0.500 0.529
F 0.056 0.094 0.757
F 0.755 0.965 0.421
O 0.500 0.029 0.500
F 0.456 0.535 0.289
F 0.579 0.044 0.834
H 0.137 0.101 0.131
F 0.299 0.243 0.336
F 0.711 0.745 0.666
F 0.094 0.257 0.556
H 0.464 0.363 0.994
H 0.101 0.631 0.637
H 0.494 0.464 0.863
F 0.921 0.755 0.465

Uncorrected energy: -8.77 eV/atom


14.
SiH14O4F6 at its PBEsol-relaxed geometry, computed with SCAN.

Unit cell a=5.989 b=6.255 c=13.103 alpha=90.00 beta=90.00 gamma=109.67
Atoms (fractional coordinates):
F 0.889 0.214 0.517
F 0.085 0.963 0.123
H 0.348 0.100 0.335
H 0.949 0.554 0.286
H 0.976 0.728 0.193
O 0.345 0.133 0.590
H 0.024 0.272 0.807
H 0.051 0.946 0.786
O 0.138 0.898 0.731
F 0.266 0.500 0.545
H 0.313 0.779 0.927
H 0.727 0.983 0.464
F 0.266 0.000 0.955
H 0.051 0.446 0.714
H 0.024 0.772 0.693
O 0.655 0.367 0.090
O 0.862 0.602 0.231
H 0.747 0.951 0.340
O 0.138 0.398 0.769
F 0.915 0.037 0.877
O 0.345 0.633 0.910
H 0.348 0.600 0.165
H 0.687 0.721 0.427
H 0.652 0.400 0.835
H 0.313 0.279 0.573
Si 0.000 0.500 0.500
H 0.976 0.228 0.307
F 0.889 0.714 0.983
H 0.727 0.483 0.036
H 0.397 0.727 0.154
F 0.734 0.500 0.455
H 0.603 0.773 0.654
F 0.111 0.786 0.483
F 0.734 0.000 0.045
H 0.949 0.054 0.214
H 0.273 0.017 0.536
H 0.747 0.451 0.160
H 0.687 0.221 0.073
Si 0.000 0.000 0.000
H 0.397 0.227 0.346
H 0.273 0.517 0.964
O 0.862 0.102 0.269
H 0.652 0.900 0.665
F 0.111 0.286 0.017
H 0.603 0.273 0.846
H 0.253 0.049 0.660
O 0.655 0.867 0.410
F 0.915 0.537 0.623
F 0.085 0.463 0.377
H 0.253 0.549 0.840

Uncorrected energy: -5.64 eV/atom


15.
SiHOF2 at its PBEsol-relaxed geometry, computed with SCAN.

Unit cell a=3.036 b=3.036 c=4.099 alpha=90.00 beta=90.00 gamma=90.00
Atoms (fractional coordinates):
O 0.000 0.000 0.500
F 0.000 0.500 0.000
Si 0.500 0.500 0.500
F 0.500 0.000 0.000
H 0.000 0.000 0.000

Uncorrected energy: -5.96 eV/atom